Crystalline CuPbW2 at its relaxed geometry, computed with GGA-PBE.

**ΔH_f (0 K)**: 0.805 eV/atom
**Total moment**: 0.0 μB per cell

Geometry as POSCAR:
```
CuPbW2
1.0
-1.731 2.329 4.301
1.731 -2.329 4.301
1.731 2.329 -4.301
Cu Pb W
1 1 2
direct
0.000 0.000 0.000
0.248 0.748 0.500
0.522 0.522 0.000
0.748 0.248 0.500
```